YHgW after structural relaxation, computed with PBE-GGA.

## Properties
energy above the most stable polymorph in this dataset: 0 meV/atom
energy of formation: 0.44 eV/atom
space-group type: I4mm, No. 107
calculated density: 12.42 g/cm³
DOS(E_F): 0.713 states/eV per atom
E_tot: -0.451 Ry/atom

Unit cell a=7.2910 b=7.2910 c=7.2910 alpha=156.16 beta=156.16 gamma=33.97
Fractional coordinates of all 3 atoms:
Y 0.0000 0.0000 0.0000
Hg 0.6793 0.6793 0.0000
W 0.3352 0.3352 0.0000

=====

LiPm6Zn5 after structural relaxation, computed with PBE-GGA.

## Properties
energy of formation: -0.26 eV/atom
space-group type: Immm, No. 71
calculated density: 6.74 g/cm³
DOS(E_F): 1.028 states/eV per atom
E_tot: -0.245 Ry/atom

Unit cell a=8.9937 b=8.9937 c=8.9937 alpha=146.52 beta=131.73 gamma=60.02
Fractional coordinates of all 12 atoms:
Li 0.0000 0.0000 0.0000
Pm 0.0840 0.8306 0.2534
Pm 0.2574 0.5000 0.7574
Pm 0.4228 0.1694 0.2534
Pm 0.5772 0.8306 0.7466
Pm 0.7426 0.5000 0.2426
Pm 0.9160 0.1694 0.7466
Zn 0.1606 0.6606 0.5000
Zn 0.3337 0.3337 0.0000
Zn 0.5000 0.0000 0.5000
Zn 0.6663 0.6663 0.0000
Zn 0.8394 0.3394 0.5000

=====

TbAl4Zn after structural relaxation, computed with PBE-GGA.

## Properties
energy of formation: -0.13 eV/atom
space-group type: F-43m, No. 216
calculated density: 4.73 g/cm³
DOS(E_F): 0.611 states/eV per atom
E_tot: -0.266 Ry/atom

Unit cell a=5.4828 b=5.4828 c=5.4828 alpha=60.00 beta=60.00 gamma=60.00
Fractional coordinates of all 6 atoms:
Tb 0.0000 0.0000 0.0000
Al 0.3746 0.3746 0.3746
Al 0.3746 0.3746 0.8761
Al 0.3746 0.8761 0.3746
Al 0.8761 0.3746 0.3746
Zn 0.7500 0.7500 0.7500

=====

BaTlBr6 after structural relaxation, computed with PBE-GGA.

## Properties
space-group type: P-1, No. 2
calculated density: 4.36 g/cm³
formation energy from raw total energies: -0.912 eV per atom
E_tot: -0.199 Ry/atom

Unit cell a=7.4620 b=7.5049 c=7.5796 alpha=115.21 beta=119.25 gamma=94.20
Fractional coordinates of all 8 atoms:
Ba 0.0000 0.0000 0.0000
Tl 0.5000 0.5000 0.0000
Br 0.0600 0.2011 0.5263
Br 0.2871 0.7278 0.1690
Br 0.4905 0.2848 0.2065
Br 0.5095 0.7152 0.7935
Br 0.7129 0.2722 0.8310
Br 0.9400 0.7989 0.4737

=====

Tb5NdHo2Th after structural relaxation, computed with PBE-GGA.

## Properties
energy of formation: 0.17 eV/atom
space-group type: Cmc2_1, No. 36
calculated density: 8.43 g/cm³
DOS(E_F): 1.594 states/eV per atom
E_tot: -0.351 Ry/atom

Unit cell a=10.4610 b=10.4610 c=10.3911 alpha=90.00 beta=90.00 gamma=148.67
Fractional coordinates of all 18 atoms:
Tb 0.0162 0.9838 0.5000
Tb 0.2752 0.7248 0.7951
Tb 0.2969 0.7031 0.1859
Tb 0.3881 0.6119 0.5039
Tb 0.4770 0.5230 0.2152
Tb 0.5230 0.4770 0.7152
Tb 0.6119 0.3881 0.0039
Tb 0.7031 0.2969 0.6859
Tb 0.7248 0.2752 0.2951
Tb 0.9838 0.0162 0.0000
Nd 0.4115 0.5885 0.9218
Nd 0.5885 0.4115 0.4218
Ho 0.1134 0.8866 0.7971
Ho 0.1144 0.8856 0.2089
Ho 0.8856 0.1144 0.7089
Ho 0.8866 0.1134 0.2971
Th 0.1988 0.8012 0.4934
Th 0.8012 0.1988 0.9934

=====

CsInSi after structural relaxation, computed with PBE-GGA.

## Properties
space-group type: P-1, No. 2
calculated density: 4.40 g/cm³
formation energy from raw total energies: 0.025 eV per atom
DOS(E_F): 0.211 states/eV per atom
E_tot: -0.219 Ry/atom

Unit cell a=4.5645 b=6.5569 c=7.5770 alpha=101.08 beta=102.64 gamma=103.25
Fractional coordinates of all 6 atoms:
Cs 0.2303 0.2123 0.3806
Cs 0.7697 0.7877 0.6194
In 0.4892 0.7770 0.0458
In 0.5108 0.2230 0.9542
Si 0.0295 0.4005 0.8450
Si 0.9705 0.5995 0.1550

=====

Cd2TcHRh after structural relaxation, computed with PBE-GGA.

## Properties
energy above the most stable polymorph in this dataset: 854 meV/atom
space-group type: P4/mmm, No. 123
calculated density: 5.62 g/cm³
DOS(E_F): 0.733 states/eV per atom
E_tot: -0.247 Ry/atom

Unit cell a=5.1976 b=5.1976 c=4.6645 alpha=90.00 beta=90.00 gamma=90.00
Fractional coordinates of all 5 atoms:
Cd 0.0000 0.5000 0.0000
Cd 0.5000 0.0000 0.0000
Tc 0.0000 0.0000 0.5000
H 0.5000 0.5000 0.5000
Rh 0.0000 0.0000 0.0000

=====

TaTiNbRh after structural relaxation, computed with PBE-GGA.

## Properties
energy above the most stable polymorph in this dataset: 15 meV/atom
energy of formation: -0.35 eV/atom
space-group type: F-43m, No. 216
calculated density: 10.75 g/cm³
DOS(E_F): 0.769 states/eV per atom
E_tot: -0.709 Ry/atom

Unit cell a=4.5273 b=4.5273 c=4.5273 alpha=60.00 beta=60.00 gamma=60.00
Fractional coordinates of all 4 atoms:
Ta 0.0000 0.0000 0.0000
Ti 0.5000 0.5000 0.5000
Nb 0.2500 0.2500 0.2500
Rh 0.7500 0.7500 0.7500

=====

LaIr2 after structural relaxation, computed with PBE-GGA.

## Properties
energy of formation: 0.23 eV/atom
space-group type: P-62m, No. 189
calculated density: 14.93 g/cm³
DOS(E_F): 1.166 states/eV per atom
E_tot: -0.538 Ry/atom

Unit cell a=8.2573 b=8.2573 c=2.9564 alpha=90.00 beta=90.00 gamma=120.00
Fractional coordinates of all 9 atoms:
La 0.0000 0.0000 0.0000
La 0.3333 0.6667 0.5000
La 0.6667 0.3333 0.5000
Ir 0.0000 0.3169 0.5000
Ir 0.0000 0.6334 0.0000
Ir 0.3169 0.0000 0.5000
Ir 0.3666 0.3666 0.0000
Ir 0.6334 0.0000 0.0000
Ir 0.6831 0.6831 0.5000

=====

BaSrLi2Cd after structural relaxation, computed with PBE-GGA.

## Properties
energy above the most stable polymorph in this dataset: 0 meV/atom
energy of formation: -0.08 eV/atom
space-group type: Imm2, No. 44
calculated density: 3.20 g/cm³
DOS(E_F): 0.764 states/eV per atom
E_tot: -0.128 Ry/atom

Unit cell a=8.4138 b=8.4138 c=8.4138 alpha=150.53 beta=141.34 gamma=49.35
Fractional coordinates of all 5 atoms:
Ba 0.0000 0.0000 0.0000
Sr 0.2630 0.7630 0.5000
Li 0.6209 0.6209 0.0000
Li 0.7942 0.2942 0.5000
Cd 0.4327 0.4327 0.0000

=====

MgScBe2 after structural relaxation, computed with PBE-GGA.

## Properties
energy of formation: 0.07 eV/atom
space-group type: Amm2, No. 38
calculated density: 2.30 g/cm³
DOS(E_F): 0.309 states/eV per atom
E_tot: -0.278 Ry/atom

Unit cell a=3.9063 b=5.1410 c=5.1410 alpha=37.70 beta=90.00 gamma=90.00
Fractional coordinates of all 4 atoms:
Mg 0.0000 0.0000 0.0000
Sc 0.5000 0.7022 0.7022
Be 0.0000 0.2953 0.2953
Be 0.5000 0.4072 0.4072

=====

Li5Hg2Bi2 after structural relaxation, computed with PBE-GGA.

## Properties
energy above the most stable polymorph in this dataset: 40 meV/atom
energy of formation: -0.32 eV/atom
space-group type: Ima2, No. 46
calculated density: 6.90 g/cm³
DOS(E_F): 0.141 states/eV per atom
E_tot: -0.170 Ry/atom

Unit cell a=9.0594 b=9.0594 c=9.0594 alpha=71.54 beta=129.04 gamma=133.37
Fractional coordinates of all 18 atoms:
Li 0.1591 0.5028 0.9648
Li 0.1591 0.6942 0.1562
Li 0.1825 0.0449 0.2273
Li 0.1825 0.4551 0.6376
Li 0.1893 0.1272 0.5622
Li 0.5380 0.0028 0.8438
Li 0.5380 0.1942 0.0352
Li 0.5650 0.6272 0.4378
Li 0.8175 0.5449 0.3624
Li 0.8175 0.9551 0.7727
Hg 0.0420 0.3158 0.2262
Hg 0.0896 0.8158 0.7738
Hg 0.3069 0.3069 0.0000
Hg 0.3069 0.8069 0.5000
Bi 0.6686 0.3090 0.6132
Bi 0.6686 0.5554 0.8596
Bi 0.6958 0.0554 0.3868
Bi 0.6958 0.8090 0.1404

=====

Sm5Sb4Se after structural relaxation, computed with PBE-GGA.

## Properties
energy above the most stable polymorph in this dataset: 14 meV/atom
space-group type: I4/mmm, No. 139
calculated density: 7.17 g/cm³
formation energy from raw total energies: -1.306 eV per atom
DOS(E_F): 0.232 states/eV per atom
E_tot: -0.416 Ry/atom

Unit cell a=15.9110 b=15.9110 c=15.9110 alpha=164.02 beta=164.02 gamma=22.67
Fractional coordinates of all 10 atoms:
Sm 0.0000 0.0000 0.0000
Sm 0.2004 0.2004 0.0000
Sm 0.4025 0.4025 0.0000
Sm 0.5975 0.5975 0.0000
Sm 0.7996 0.7996 0.0000
Sb 0.0988 0.0988 0.0000
Sb 0.3015 0.3015 0.0000
Sb 0.6985 0.6985 0.0000
Sb 0.9012 0.9012 0.0000
Se 0.5000 0.5000 0.0000

=====

BaAg2SnPd after structural relaxation, computed with PBE-GGA.

## Properties
energy of formation: -0.21 eV/atom
space-group type: P4/mmm, No. 123
calculated density: 6.77 g/cm³
DOS(E_F): 0.394 states/eV per atom
E_tot: -0.263 Ry/atom

Unit cell a=5.3122 b=5.3122 c=5.0275 alpha=90.00 beta=90.00 gamma=90.00
Fractional coordinates of all 5 atoms:
Ba 0.0000 0.0000 0.0000
Ag 0.0000 0.5000 0.5000
Ag 0.5000 0.0000 0.5000
Sn 0.5000 0.5000 0.0000
Pd 0.5000 0.5000 0.5000

=====

La2SmDy4 after structural relaxation, computed with PBE-GGA.

## Properties
energy above the most stable polymorph in this dataset: 68 meV/atom
energy of formation: 0.31 eV/atom
space-group type: C2/m, No. 12
calculated density: 7.15 g/cm³
DOS(E_F): 1.794 states/eV per atom
E_tot: -0.323 Ry/atom

Unit cell a=7.8126 b=7.8126 c=8.2079 alpha=90.07 beta=90.07 gamma=90.02
Fractional coordinates of all 14 atoms:
La 0.0000 0.0000 0.0000
La 0.0000 0.0000 0.5000
La 0.0000 0.5000 0.0000
La 0.5000 0.0000 0.0000
Sm 0.5000 0.5000 0.0000
Sm 0.5000 0.5000 0.5000
Dy 0.2525 0.2525 0.7191
Dy 0.2520 0.7470 0.7191
Dy 0.2525 0.2525 0.2808
Dy 0.2530 0.7480 0.2809
Dy 0.7470 0.2520 0.7191
Dy 0.7475 0.7475 0.7192
Dy 0.7480 0.2530 0.2809
Dy 0.7475 0.7475 0.2809

=====

BeOs2Br after structural relaxation, computed with PBE-GGA.

## Properties
energy above the most stable polymorph in this dataset: 553 meV/atom
space-group type: Pmmm, No. 47
calculated density: 13.14 g/cm³
formation energy from raw total energies: 1.096 eV per atom
DOS(E_F): 0.980 states/eV per atom
E_tot: -0.431 Ry/atom

Unit cell a=2.7784 b=4.4303 c=4.8181 alpha=90.00 beta=90.00 gamma=90.00
Fractional coordinates of all 4 atoms:
Be 0.0000 0.0000 0.0000
Os 0.0000 0.5000 0.5000
Os 0.5000 0.5000 0.0000
Br 0.5000 0.0000 0.5000

=====

CsRb2SbSe4 after structural relaxation, computed with PBE-GGA.

## Properties
space-group type: I-4, No. 82
calculated density: 3.43 g/cm³
formation energy from raw total energies: -0.819 eV per atom
DOS(E_F): 0.000 states/eV per atom
E_tot: -0.252 Ry/atom

Unit cell a=7.7550 b=7.7550 c=7.7550 alpha=108.50 beta=108.50 gamma=111.44
Fractional coordinates of all 8 atoms:
Cs 0.0000 0.0000 0.0000
Rb 0.2500 0.7500 0.5000
Rb 0.5000 0.5000 0.0000
Sb 0.7500 0.2500 0.5000
Se 0.0828 0.2605 0.5155
Se 0.4327 0.9172 0.1776
Se 0.7395 0.2550 0.8224
Se 0.7450 0.5673 0.4845

=====

LiPt2Br after structural relaxation, computed with PBE-GGA.

## Properties
energy above the most stable polymorph in this dataset: 574 meV/atom
space-group type: Fm-3m, No. 225
calculated density: 12.11 g/cm³
formation energy from raw total energies: 0.344 eV per atom
DOS(E_F): 1.162 states/eV per atom
E_tot: -0.263 Ry/atom

Unit cell a=4.5226 b=4.5226 c=4.5226 alpha=60.00 beta=60.00 gamma=60.00
Fractional coordinates of all 4 atoms:
Li 0.0000 0.0000 0.0000
Pt 0.2500 0.2500 0.2500
Pt 0.7500 0.7500 0.7500
Br 0.5000 0.5000 0.5000

=====

La3Tb7Pr after structural relaxation, computed with PBE-GGA.

## Properties
energy above the most stable polymorph in this dataset: 0 meV/atom
energy of formation: 0.17 eV/atom
space-group type: P3m1, No. 156
calculated density: 7.07 g/cm³
DOS(E_F): 1.633 states/eV per atom
E_tot: -0.335 Ry/atom

Unit cell a=7.1516 b=7.1516 c=8.8528 alpha=90.00 beta=90.00 gamma=120.00
Fractional coordinates of all 11 atoms:
La 0.1672 0.3344 0.0000
La 0.1672 0.8328 0.0000
La 0.6656 0.8328 0.0000
Tb 0.0016 0.5008 0.6591
Tb 0.3328 0.1664 0.3372
Tb 0.3333 0.6667 0.3401
Tb 0.4992 0.5008 0.6591
Tb 0.4992 0.9984 0.6591
Tb 0.8336 0.1664 0.3372
Tb 0.8336 0.6672 0.3372
Pr 0.0000 0.0000 0.6591

=====

SrAc2S4 after structural relaxation, computed with PBE-GGA.

## Properties
energy above the most stable polymorph in this dataset: 0 meV/atom
space-group type: C2/m, No. 12
calculated density: 4.83 g/cm³
formation energy from raw total energies: -2.088 eV per atom
DOS(E_F): 0.000 states/eV per atom
E_tot: -0.431 Ry/atom

Unit cell a=8.0366 b=8.0366 c=7.6139 alpha=115.50 beta=115.50 gamma=31.55
Fractional coordinates of all 7 atoms:
Sr 0.0000 0.0000 0.0000
Ac 0.2857 0.2857 0.2903
Ac 0.7143 0.7143 0.7097
S 0.1304 0.1304 0.4306
S 0.3535 0.3535 0.9800
S 0.6465 0.6465 0.0200
S 0.8696 0.8696 0.5694